No. 1
A relaxed structure of Ba5Na2Cl12, computed with PBE.

Cell: 9.4091 9.4091 10.0535 Å, 105.66 105.66 49.60°
With the nearest neighbours (Å) after each atom.
Atoms (fractional coordinates):
Ba: 0.0000 0.0000 0.0000  6 Cl 2.98-3.22
Ba: 0.3125 0.3125 0.1562  7 Cl 3.08-3.23
Ba: 0.3153 0.3153 0.6549  7 Cl 3.07-3.28
Ba: 0.6847 0.6847 0.3451  7 Cl 3.07-3.28
Ba: 0.6875 0.6875 0.8438  7 Cl 3.08-3.23
Na: 0.2321 0.7679 0.5000  6 Cl 2.75-2.93
Na: 0.7679 0.2321 0.5000  6 Cl 2.75-2.93
Cl: 0.0071 0.0071 0.2998  2 Na 2.75, 1 Ba 2.98
Cl: 0.0901 0.5633 0.4078  1 Na 2.84, 3 Ba 3.09-3.16
Cl: 0.0951 0.5932 0.9270  4 Ba 3.20-3.28
Cl: 0.4068 0.9049 0.0730  4 Ba 3.20-3.28
Cl: 0.4367 0.9099 0.5922  1 Na 2.84, 3 Ba 3.09-3.16
Cl: 0.4988 0.4988 0.2979  2 Na 2.93, 2 Ba 3.07-3.08
Cl: 0.5012 0.5012 0.7021  2 Na 2.93, 2 Ba 3.07-3.08
Cl: 0.5633 0.0901 0.4078  1 Na 2.84, 3 Ba 3.09-3.16
Cl: 0.5932 0.0951 0.9270  4 Ba 3.20-3.28
Cl: 0.9049 0.4068 0.0730  4 Ba 3.20-3.28
Cl: 0.9099 0.4367 0.5922  1 Na 2.84, 3 Ba 3.09-3.16
Cl: 0.9929 0.9929 0.7002  2 Na 2.75, 1 Ba 2.98

Results
space-group type = No. 12
total moment = 0.19 Bohr magnetons per cell
DOS(E_F) = 0.0 states/eV per cell
uncorrected formation energy = -4305 kJ/mol of formula units


No. 2
A relaxed structure of YGaAg4, computed with PBE.

Cell: 5.5476 5.5476 5.5476 Å, 60.00 60.00 60.00°
With the nearest neighbours (Å) after each atom.
Atoms (fractional coordinates):
Y: 0.0000 0.0000 0.0000  12 Ag 3.25, 4 Ga 3.40
Ga: 0.2500 0.2500 0.2500  12 Ag 3.25, 4 Y 3.40
Ag: 0.1254 0.6249 0.6249  6 Ag 2.77-2.78
Ag: 0.6249 0.1254 0.6249  6 Ag 2.77-2.78
Ag: 0.6249 0.6249 0.1254  6 Ag 2.77-2.78
Ag: 0.6249 0.6249 0.6249  6 Ag 2.77-2.78

Results
space-group type = No. 216
total moment = 0.00 Bohr magnetons per cell
DOS(E_F) = 2.5 states/eV per cell
calculated formation energy = -15 kJ/mol of atoms


No. 3
A relaxed structure of NaMg4Cl8, computed with PBE.

Cell: 7.8147 7.8147 7.8147 Å, 60.00 60.00 60.00°
With the nearest neighbours (Å) after each atom.
Atoms (fractional coordinates):
Na: 0.0000 0.0000 0.0000  4 Cl 2.69
Mg: 0.1375 0.6208 0.6208  6 Cl 2.57-2.65
Mg: 0.6208 0.1375 0.6208  6 Cl 2.57-2.65
Mg: 0.6208 0.6208 0.1375  6 Cl 2.57-2.65
Mg: 0.6208 0.6208 0.6208  6 Cl 2.57-2.65
Cl: 0.3884 0.3884 0.3884  3 Mg 2.57
Cl: 0.3884 0.3884 0.8348  3 Mg 2.57
Cl: 0.3884 0.8348 0.3884  3 Mg 2.57
Cl: 0.4221 0.8593 0.8593  3 Mg 2.65, 1 Na 2.69
Cl: 0.8348 0.3884 0.3884  3 Mg 2.57
Cl: 0.8593 0.4221 0.8593  3 Mg 2.65, 1 Na 2.69
Cl: 0.8593 0.8593 0.4221  3 Mg 2.65, 1 Na 2.69
Cl: 0.8593 0.8593 0.8593  3 Mg 2.65, 1 Na 2.69

Results
space-group type = No. 216
total moment = 0.00 Bohr magnetons per cell
DOS(E_F) = 2.3 states/eV per cell
uncorrected formation energy = -2033 kJ/mol of formula units


Question: Which of these has the highest DOS(E_F)?
Answer: YGaAg4